# 1
4
Lattice="5.6566 0.0000 0.0000 2.8283 4.8988 0.0000 2.8283 1.6329 4.6186" Properties=species:S:1:pos:R:3 comment="NaEu2Ag (PBE, relaxed)" e_form_ev_per_atom=-0.06 pbc="T T T"
Eu 2.8283 1.6329 1.1547
Eu 8.4850 4.8988 3.4640
Na 0.0000 0.0000 0.0000
Ag 5.6566 3.2659 2.3093

***

# 2
4
Lattice="-0.0021 4.2011 -0.5485 -1.8600 -0.6720 -5.1397 -5.1835 0.2382 1.8447" Properties=species:S:1:pos:R:3 comment="NaEu2Ag (PBE, relaxed)" e_form_ev_per_atom=-0.04 pbc="T T T"
Eu -2.5917 0.1191 0.9224
Eu -0.9300 -0.3360 -2.5699
Na -3.5228 1.8836 -1.9218
Ag -0.0011 2.1005 -0.2743

***

# 3
4
Lattice="3.6600 0.0000 0.0000 0.0000 5.3238 0.0000 0.0000 0.0000 5.3238" Properties=species:S:1:pos:R:3 comment="NaEuAg2 (PBE, relaxed)" e_form_ev_per_atom=-0.12 pbc="T T T"
Eu 1.8300 2.6619 2.6619
Na 1.8300 0.0000 0.0000
Ag 0.0000 0.0000 2.6619
Ag 0.0000 2.6619 0.0000

***

# 4
4
Lattice="-4.1677 2.4139 2.1386 -4.8034 -0.7344 -2.0392 -3.5900 -2.7985 2.6551" Properties=species:S:1:pos:R:3 comment="NaEuAg2 (PBE, relaxed)" e_form_ev_per_atom=-0.13 pbc="T T T"
Eu 0.0000 0.0000 0.0000
Na -6.2805 -0.5595 1.3773
Ag -3.1403 -0.2798 0.6886
Ag -9.4208 -0.8393 2.0659

***

# 5
3
Lattice="3.9969 0.0000 0.0000 0.0000 5.0893 0.0000 0.0000 -2.5446 4.4074" Properties=species:S:1:pos:R:3 comment="NaEuAg (PBE, relaxed)" e_form_ev_per_atom=-0.03 pbc="T T T"
Eu 2.6626 2.5446 1.4691
Na 0.6579 0.0000 0.0000
Ag 0.6765 0.0000 2.9383

***

# 6
4
Lattice="-3.1215 -4.2254 -1.7616 0.7735 -2.0893 -5.0732 2.2386 -5.0314 -0.6124" Properties=species:S:1:pos:R:3 comment="NaNdEuAg (PBE, relaxed)" e_form_ev_per_atom=0.05 pbc="T T T"
Eu 0.0000 0.0000 0.0000
Na -0.0821 -8.5095 -5.5854
Nd -0.0547 -5.6730 -3.7236
Ag -0.0274 -2.8365 -1.8618

***

# 7
4
Lattice="5.2556 0.0000 0.0000 2.6278 4.5515 0.0000 2.6278 1.5172 4.2912" Properties=species:S:1:pos:R:3 comment="NaEuAgPb (PBE, relaxed)" e_form_ev_per_atom=-0.24 pbc="T T T"
Pb 0.0000 0.0000 0.0000
Eu 5.2556 3.0343 2.1456
Ag 2.6278 1.5172 1.0728
Na 7.8835 4.5515 3.2184

***

# 8
4
Lattice="5.1139 0.0000 0.0000 2.5570 4.4288 0.0000 2.5570 1.4763 4.1755" Properties=species:S:1:pos:R:3 comment="NaEuAgPd (PBE, relaxed)" e_form_ev_per_atom=-0.22 pbc="T T T"
Eu 5.1139 2.9525 2.0877
Na 0.0000 0.0000 0.0000
Pd 2.5570 1.4763 1.0439
Ag 7.6709 4.4288 3.1316

***

# 9
4
Lattice="5.0548 0.0000 0.0000 2.5274 4.3776 0.0000 2.5274 1.4592 4.1273" Properties=species:S:1:pos:R:3 comment="NaEuAgPt (PBE, relaxed)" e_form_ev_per_atom=-0.33 pbc="T T T"
Eu 0.0000 0.0000 0.0000
Na 5.0548 2.9184 2.0636
Ag 2.5274 1.4592 1.0318
Pt 7.5823 4.3776 3.0954

***

# 10
4
Lattice="5.3262 0.0000 0.0000 2.6631 4.6127 0.0000 2.6631 1.5376 4.3489" Properties=species:S:1:pos:R:3 comment="NaEuAgSb (PBE, relaxed)" formation_energy_uncorrected_mev_per_atom=-477.3 pbc="T T T"
Eu 0.0000 0.0000 0.0000
Sb 7.9893 4.6127 3.2616
Ag 2.6631 1.5376 1.0872
Na 5.3262 3.0751 2.1744

***

# 11
4
Lattice="5.5094 0.0000 0.0000 2.7547 4.7713 0.0000 2.7547 1.5904 4.4984" Properties=species:S:1:pos:R:3 comment="NaSmEuAg (PBE, relaxed)" e_form_ev_per_atom=0.06 pbc="T T T"
Eu 0.0000 0.0000 0.0000
Na 8.2641 4.7713 3.3738
Ag 2.7547 1.5904 1.1246
Sm 5.5094 3.1808 2.2492

***

# 12
4
Lattice="-4.4366 0.3874 2.6277 -2.7864 -4.2378 1.0079 -0.3062 -1.8032 4.8367" Properties=species:S:1:pos:R:3 comment="NaEuAgSn (PBE, relaxed)" e_form_ev_per_atom=-0.32 pbc="T T T"
Eu -5.6470 -4.2402 6.3542
Na 0.0000 0.0000 0.0000
Sn -1.8823 -1.4134 2.1181
Ag -3.7646 -2.8268 4.2361

***

# 13
4
Lattice="-1.6558 2.7119 -4.1642 -3.9075 -1.8593 -2.9514 -4.6887 2.3334 0.0896" Properties=species:S:1:pos:R:3 comment="NaEuZnAg (PBE, relaxed)" e_form_ev_per_atom=-0.09 pbc="T T T"
Eu -7.6890 2.3894 -5.2695
Na -2.5630 0.7965 -1.7565
Zn 0.0000 0.0000 0.0000
Ag -5.1260 1.5929 -3.5130

***

# 14
4
Lattice="-2.4868 -2.0607 -1.7407 0.3639 -3.6502 -0.0649 -7.0028 -2.7081 9.3440" Properties=species:S:1:pos:R:3 comment="NdEu2Ag (PBE, relaxed)" e_form_ev_per_atom=0.15 pbc="T T T"
Eu -5.1273 -2.4684 6.3809
Eu -3.9984 -5.9506 1.1575
Nd 0.0000 0.0000 0.0000
Ag -4.5629 -4.2095 3.7692

***

# 15
4
Lattice="-1.6913 1.3304 4.7089 -4.4842 -1.7899 -1.1049 1.3441 -4.4394 1.7370" Properties=species:S:1:pos:R:3 comment="NdEu2Ag (PBE, relaxed)" e_form_ev_per_atom=0.03 pbc="T T T"
Eu 0.6720 -2.2197 0.8685
Eu -2.2421 -0.8950 -0.5525
Nd -2.4157 -2.4495 2.6705
Ag -0.8457 0.6652 2.3544

***

# 16
4
Lattice="3.7829 0.0000 0.0000 0.0000 3.7829 0.0000 0.0000 0.0000 9.2257" Properties=species:S:1:pos:R:3 comment="NdEu2Ag (PBE, relaxed)" e_form_ev_per_atom=-0.09 pbc="T T T"
Eu 0.0000 0.0000 7.3379
Eu 0.0000 0.0000 1.8878
Nd 1.8914 1.8914 4.6128
Ag 1.8914 1.8914 0.0000

***

# 17
4
Lattice="-0.2168 -2.8784 -4.2671 4.1264 -2.6935 -1.5026 -0.0087 -5.1393 0.3573" Properties=species:S:1:pos:R:3 comment="NdEuNiAg (PBE, relaxed)" e_form_ev_per_atom=-0.16 pbc="T T T"
Eu 0.0000 0.0000 0.0000
Ni 0.9752 -2.6778 -1.3531
Nd 1.9505 -5.3556 -2.7062
Ag 2.9257 -8.0334 -4.0592

***

# 18
4
Lattice="5.4894 0.0000 0.0000 2.7447 4.7540 0.0000 2.7447 1.5847 4.4821" Properties=species:S:1:pos:R:3 comment="NdEuAgPb (PBE, relaxed)" e_form_ev_per_atom=-0.44 pbc="T T T"
Pb 8.2341 4.7540 3.3616
Eu 0.0000 0.0000 0.0000
Nd 5.4894 3.1693 2.2410
Ag 2.7447 1.5847 1.1205

***

# 19
4
Lattice="-5.2564 1.6297 0.6392 -3.2410 0.7041 -4.4379 -4.1398 -3.5443 -0.9972" Properties=species:S:1:pos:R:3 comment="PmNdEuAg (PBE, relaxed)" e_form_ev_per_atom=0.13 pbc="T T T"
Eu -9.4780 -0.9078 -3.5969
Nd -3.1593 -0.3026 -1.1990
Ag 0.0000 0.0000 0.0000
Pm -6.3187 -0.6052 -2.3979

***

# 20
4
Lattice="-2.7650 -1.6034 -3.9961 -3.7510 -3.4120 0.6881 -4.8874 1.4405 -0.4725" Properties=species:S:1:pos:R:3 comment="NdEuAgRu (PBE, relaxed)" e_form_ev_per_atom=-0.08 pbc="T T T"
Eu 0.0000 0.0000 0.0000
Ru -8.5525 -2.6812 -2.8353
Nd -5.7017 -1.7875 -1.8902
Ag -2.8508 -0.8937 -0.9451

***

What are the Fermi-level density of states values for these records? In order: 15.278; 14.392; 10.117; 12.252; 11.027; 8.793; 12.159; 15.097; 14.617; 11.792; 9.997; 12.319; 8.433; 4.512; 5.087; 10.203; 8.931; 11.467; 6.378; 11.974 states/eV/f.u..
What are the final energy values for these records? In order: -6.235; -6.223; -4.440; -4.458; -4.844; -4.758; -4.783; -5.133; -5.456; -5.119; -4.735; -4.929; -4.025; -6.891; -7.008; -7.134; -6.077; -5.845; -5.532; -6.874 eV per atom.
What are the V values for these records? In order: 127.99; 128.49; 103.74; 103.48; 89.65; 120.28; 102.65; 94.57; 91.33; 106.84; 118.25; 97.77; 101.62; 137.53; 127.01; 132.02; 96.68; 116.97; 120.25; 94.75 Å³/f.u..